Entry 1:
{
  "formula": "Nd4Ga2Pt",
  "functional": "PBE",
  "state": "optimized geometry",
  "e_tot_ev_per_fu": -35.00,
  "formation_enthalpy_0k_ev_per_atom": -0.5484,
  "magnetic_moment_mub_per_atom": 0.00,
  "lattice": [[8.305, -2.101, 0.000], [8.305, 2.101, 0.000], [-1.666, 0.000, 5.599]],
  "species": ["Nd", "Nd", "Nd", "Nd", "Ga", "Ga", "Pt"],
  "fractional_positions": [[0.097, 0.097, 0.496], [0.366, 0.366, 0.967], [0.634, 0.634, 0.033], [0.903, 0.903, 0.504], [0.264, 0.264, 0.369], [0.736, 0.736, 0.631], [0.000, 0.000, 0.000]]
}

---

Entry 2:
{
  "formula": "Nd2Ga5Pt3",
  "functional": "PBE",
  "state": "optimized geometry",
  "e_tot_ev_per_fu": -51.94,
  "formation_enthalpy_0k_ev_per_atom": -0.9148,
  "magnetic_moment_mub_per_atom": 0.00,
  "lattice": [[-5.198, 6.314, 2.943], [5.198, -6.314, 2.943], [5.198, 6.314, -2.943]],
  "species": ["Nd", "Nd", "Nd", "Nd", "Ga", "Ga", "Ga", "Ga", "Ga", "Ga", "Ga", "Ga", "Ga", "Ga", "Pt", "Pt", "Pt", "Pt", "Pt", "Pt"],
  "fractional_positions": [[0.135, 0.227, 0.362], [0.365, 0.727, 0.092], [0.635, 0.273, 0.908], [0.865, 0.773, 0.638], [0.034, 0.750, 0.284], [0.101, 0.661, 0.762], [0.250, 0.250, 0.000], [0.399, 0.161, 0.560], [0.466, 0.750, 0.716], [0.534, 0.250, 0.284], [0.601, 0.839, 0.440], [0.750, 0.750, 0.000], [0.899, 0.339, 0.238], [0.966, 0.250, 0.716], [0.142, 0.895, 0.037], [0.250, 0.750, 0.500], [0.358, 0.395, 0.753], [0.642, 0.605, 0.247], [0.750, 0.250, 0.500], [0.858, 0.105, 0.963]]
}

---

Entry 3:
{
  "formula": "NdGaPt2",
  "functional": "PBE",
  "state": "optimized geometry",
  "e_tot_ev_per_fu": -22.89,
  "formation_enthalpy_0k_ev_per_atom": -0.7531,
  "magnetic_moment_mub_per_atom": 0.00,
  "lattice": [[3.419, 0.000, 0.000], [0.000, 3.419, 0.000], [0.000, 0.000, 6.649]],
  "species": ["Nd", "Ga", "Pt", "Pt"],
  "fractional_positions": [[0.000, 0.000, 0.000], [0.000, 0.000, 0.500], [0.500, 0.500, 0.292], [0.500, 0.500, 0.708]]
}

---

Entry 4:
{
  "formula": "Nd3Ga3Pt2",
  "functional": "PBE",
  "state": "optimized geometry",
  "e_tot_ev_per_fu": -42.55,
  "formation_enthalpy_0k_ev_per_atom": -0.8850,
  "magnetic_moment_mub_per_atom": 0.00,
  "lattice": [[8.229, 0.000, 0.000], [0.000, 15.243, 0.000], [0.000, 0.000, 5.780]],
  "species": ["Nd", "Nd", "Nd", "Nd", "Nd", "Nd", "Nd", "Nd", "Nd", "Nd", "Nd", "Nd", "Ga", "Ga", "Ga", "Ga", "Ga", "Ga", "Ga", "Ga", "Ga", "Ga", "Ga", "Ga", "Pt", "Pt", "Pt", "Pt", "Pt", "Pt", "Pt", "Pt"],
  "fractional_positions": [[0.041, 0.109, 0.123], [0.041, 0.391, 0.123], [0.181, 0.250, 0.629], [0.319, 0.750, 0.129], [0.459, 0.609, 0.623], [0.459, 0.891, 0.623], [0.541, 0.109, 0.377], [0.541, 0.391, 0.377], [0.681, 0.250, 0.871], [0.819, 0.750, 0.371], [0.959, 0.609, 0.877], [0.959, 0.891, 0.877], [0.168, 0.750, 0.621], [0.183, 0.037, 0.611], [0.183, 0.463, 0.611], [0.317, 0.537, 0.111], [0.317, 0.963, 0.111], [0.332, 0.250, 0.121], [0.668, 0.750, 0.879], [0.683, 0.037, 0.889], [0.683, 0.463, 0.889], [0.817, 0.537, 0.389], [0.817, 0.963, 0.389], [0.832, 0.250, 0.379], [0.103, 0.607, 0.374], [0.103, 0.893, 0.374], [0.397, 0.107, 0.874], [0.397, 0.393, 0.874], [0.603, 0.607, 0.126], [0.603, 0.893, 0.126], [0.897, 0.107, 0.626], [0.897, 0.393, 0.626]]
}

---

Entry 5:
{
  "formula": "NdGa4Pt8",
  "functional": "PBE",
  "state": "optimized geometry",
  "e_tot_ev_per_fu": -73.67,
  "formation_enthalpy_0k_ev_per_atom": -0.6512,
  "magnetic_moment_mub_per_atom": 0.00,
  "lattice": [[-4.444, 4.444, 2.733], [4.444, -4.444, 2.733], [4.444, 4.444, -2.733]],
  "species": ["Nd", "Ga", "Ga", "Ga", "Ga", "Pt", "Pt", "Pt", "Pt", "Pt", "Pt", "Pt", "Pt"],
  "fractional_positions": [[0.000, 0.000, 0.000], [0.000, 0.000, 0.500], [0.000, 0.500, 0.000], [0.500, 0.000, 0.000], [0.500, 0.500, 0.500], [0.000, 0.336, 0.336], [0.000, 0.664, 0.664], [0.274, 0.500, 0.774], [0.336, 0.000, 0.336], [0.500, 0.274, 0.774], [0.500, 0.726, 0.226], [0.664, 0.000, 0.664], [0.726, 0.500, 0.226]]
}

---

Entry 6:
{
  "formula": "Nd8Ga2Pt",
  "functional": "PBE",
  "state": "optimized geometry",
  "e_tot_ev_per_fu": -53.86,
  "formation_enthalpy_0k_ev_per_atom": -0.3294,
  "magnetic_moment_mub_per_atom": 0.00,
  "lattice": [[9.129, -2.655, 0.000], [9.129, 2.655, 0.000], [-2.768, 0.000, 6.552]],
  "species": ["Nd", "Nd", "Nd", "Nd", "Nd", "Nd", "Nd", "Nd", "Ga", "Ga", "Pt"],
  "fractional_positions": [[0.000, 0.000, 0.248], [0.000, 0.000, 0.752], [0.199, 0.199, 0.698], [0.366, 0.366, 0.631], [0.367, 0.367, 0.102], [0.633, 0.633, 0.898], [0.634, 0.634, 0.369], [0.801, 0.801, 0.302], [0.185, 0.185, 0.184], [0.815, 0.815, 0.816], [0.500, 0.500, 0.500]]
}

---

no.,mass density (g/cm3),D(E_F) (states/eV/cell)
1,7.75,7.008
2,10.51,10.278
3,12.91,1.788
4,9.46,25.895
5,15.26,6.851
6,7.78,12.406